# GeSbTe2Ru (GGA-PBE, optimized geometry)
# ρ	6.50	g cm⁻³
# excess energy over the best structure of this formula in the dataset	0.000	eV/atom
# SG	P4/mmm (123)
# ΔE_f (raw)	0.576	eV/atom
# size of the total moment	0.00	Bohr magnetons per cell
# E_tot	-4.284	eV/atom
data_GeSbTe2Ru
_symmetry_space_group_name_H-M 'P 1'
_symmetry_Int_Tables_number 1
_cell_length_a 5.325
_cell_length_b 5.325
_cell_length_c 4.964
_cell_angle_alpha 90.00
_cell_angle_beta 90.00
_cell_angle_gamma 90.00
loop_
_symmetry_equiv_pos_as_xyz
'x,y,z'
loop_
_atom_site_label
_atom_site_type_symbol
_atom_site_fract_x
_atom_site_fract_y
_atom_site_fract_z
Te1 Te 0.500 0.000 0.000
Ru1 Ru 0.000 0.000 0.000
Ge1 Ge 0.500 0.500 0.500
Sb1 Sb 0.000 0.000 0.500
Te2 Te 0.000 0.500 0.000